1.
# PBE CsHgSbI2, optimized geometry
data_CsHgSbI2
_cell_length_a 6.480
_cell_length_b 6.480
_cell_length_c 5.586
_cell_angle_alpha 90.00
_cell_angle_beta 90.00
_cell_angle_gamma 90.00
_symmetry_space_group_name_H-M 'P 4/m m m'
_symmetry_Int_Tables_number 123
_symmetry_space_group_name_Hall '-P 4 2'
loop_
_atom_site_label
_atom_site_type_symbol
_atom_site_fract_x
_atom_site_fract_y
_atom_site_fract_z
_atom_site_occupancy
Cs1 Cs 0.000 0.000 0.000 1
Hg1 Hg 0.500 0.500 0.500 1
Sb1 Sb 0.500 0.500 0.000 1
I1 I 0.000 0.500 0.500 1
# - uncorrected formation energy (kJ per mole of atoms) = -31.9
# - excess energy over the best structure of this formula in the dataset (eV/atom) = 0.233


2.
# PBE Sc2Al2Hg, optimized geometry
data_Sc2Al2Hg
_cell_length_a 3.683
_cell_length_b 3.683
_cell_length_c 16.235
_cell_angle_alpha 90.00
_cell_angle_beta 90.00
_cell_angle_gamma 90.00
_symmetry_space_group_name_H-M 'I 4/m m m'
_symmetry_Int_Tables_number 139
_symmetry_space_group_name_Hall '-I 4 2'
loop_
_atom_site_label
_atom_site_type_symbol
_atom_site_fract_x
_atom_site_fract_y
_atom_site_fract_z
_atom_site_occupancy
Sc1 Sc 0.000 0.000 0.102 1
Al1 Al 0.000 0.500 0.250 1
Hg1 Hg 0.000 0.000 0.500 1
# - formation enthalpy at 0 K (meV/atom) = -94
# - excess energy over the best structure of this formula in the dataset (eV/atom) = 0.305


3.
# PBE BeInCu2, optimized geometry
data_BeInCu2
_cell_length_a 3.796
_cell_length_b 3.796
_cell_length_c 3.784
_cell_angle_alpha 90.00
_cell_angle_beta 90.00
_cell_angle_gamma 90.00
_symmetry_space_group_name_H-M 'P 4/m m m'
_symmetry_Int_Tables_number 123
_symmetry_space_group_name_Hall '-P 4 2'
loop_
_atom_site_label
_atom_site_type_symbol
_atom_site_fract_x
_atom_site_fract_y
_atom_site_fract_z
_atom_site_occupancy
Be1 Be 0.000 0.000 0.000 1
In1 In 0.500 0.500 0.000 1
Cu1 Cu 0.000 0.500 0.500 1
# - formation enthalpy at 0 K (meV/atom) = 174
# - excess energy over the best structure of this formula in the dataset (eV/atom) = 0.111


4.
# PBE TbMg2In9, optimized geometry
data_TbMg2In9
_cell_length_a 4.645
_cell_length_b 4.645
_cell_length_c 13.898
_cell_angle_alpha 90.00
_cell_angle_beta 90.00
_cell_angle_gamma 90.00
_symmetry_space_group_name_H-M 'P 4/m m m'
_symmetry_Int_Tables_number 123
_symmetry_space_group_name_Hall '-P 4 2'
loop_
_atom_site_label
_atom_site_type_symbol
_atom_site_fract_x
_atom_site_fract_y
_atom_site_fract_z
_atom_site_occupancy
Tb1 Tb 0.000 0.000 0.000 1
Mg1 Mg 0.000 0.000 0.331 1
In1 In 0.000 0.500 0.171 1
In2 In 0.000 0.500 0.500 1
In3 In 0.500 0.500 0.000 1
In4 In 0.500 0.500 0.333 1
# - formation enthalpy at 0 K (meV/atom) = -152


5.
# PBE Tb2PmPu, optimized geometry
data_Tb2PmPu
_cell_length_a 3.527
_cell_length_b 3.527
_cell_length_c 10.095
_cell_angle_alpha 90.00
_cell_angle_beta 90.00
_cell_angle_gamma 90.00
_symmetry_space_group_name_H-M 'P 4/m m m'
_symmetry_Int_Tables_number 123
_symmetry_space_group_name_Hall '-P 4 2'
loop_
_atom_site_label
_atom_site_type_symbol
_atom_site_fract_x
_atom_site_fract_y
_atom_site_fract_z
_atom_site_occupancy
Tb1 Tb 0.000 0.000 0.241 1
Pm1 Pm 0.500 0.500 0.500 1
Pu1 Pu 0.500 0.500 0.000 1
# - formation enthalpy at 0 K (meV/atom) = 103
# - excess energy over the best structure of this formula in the dataset (eV/atom) = 0.000


6.
# PBE K2TiAu, optimized geometry
data_K2TiAu
_cell_length_a 8.243
_cell_length_b 8.243
_cell_length_c 8.243
_cell_angle_alpha 90.00
_cell_angle_beta 90.00
_cell_angle_gamma 90.00
_symmetry_space_group_name_H-M 'F m -3 m'
_symmetry_Int_Tables_number 225
_symmetry_space_group_name_Hall '-F 4 2 3'
loop_
_atom_site_label
_atom_site_type_symbol
_atom_site_fract_x
_atom_site_fract_y
_atom_site_fract_z
_atom_site_occupancy
K1 K 0.250 0.250 0.250 1
Ti1 Ti 0.000 0.000 0.000 1
Au1 Au 0.000 0.000 0.500 1
# - formation enthalpy at 0 K (meV/atom) = 763
# - excess energy over the best structure of this formula in the dataset (eV/atom) = 0.252